No. 1
Material: ErZrAlCu
Method: DFT, PBE-GGA
State: relaxed

Cell lengths 4.853, 4.853, 4.853 Å; angles 60.00, 60.00, 60.00 degrees
Fractional coordinates of all 4 atoms:
1 Er 0.000 0.000 0.000
2 Zr 0.500 0.500 0.500
3 Al 0.250 0.250 0.250
4 Cu 0.750 0.750 0.750

Computed properties:
Formation energy ... -0.216 eV per atom
VASP energy ... -0.2004 Ha/atom
Total moment ... 0.10 Bohr magnetons per cell

No. 2
Material: K2BeBSe4
Method: DFT, PBE-GGA
State: relaxed

Cell lengths 13.793, 12.391, 7.167 Å; angles 85.27, 63.54, 31.19 degrees
Fractional coordinates of all 16 atoms:
1 K 0.054 0.054 0.696
2 K 0.304 0.304 0.946
3 K 0.696 0.696 0.054
4 K 0.946 0.946 0.304
5 Be 0.125 0.125 0.125
6 Be 0.875 0.875 0.875
7 B 0.375 0.375 0.375
8 B 0.625 0.625 0.625
9 Se 0.009 0.643 0.563
10 Se 0.285 0.563 0.643
11 Se 0.357 0.991 0.715
12 Se 0.437 0.715 0.991
13 Se 0.563 0.285 0.009
14 Se 0.643 0.009 0.285
15 Se 0.715 0.437 0.357
16 Se 0.991 0.357 0.437

Computed properties:
VASP energy ... -0.1464 Ha/atom
Formation energy (no corrections) ... -5.323 eV/f.u.
Total moment ... 0.00 Bohr magnetons per cell

No. 3
Material: TaTe2I
Method: DFT, PBE-GGA
State: relaxed

Cell lengths 5.207, 5.207, 5.207 Å; angles 60.00, 60.00, 60.00 degrees
Fractional coordinates of all 4 atoms:
1 Ta 0.000 0.000 0.000
2 Te 0.250 0.250 0.250
3 Te 0.750 0.750 0.750
4 I 0.500 0.500 0.500

Computed properties:
VASP energy ... -0.1576 Ha/atom
Formation energy (no corrections) ... 2.534 eV/f.u.
Total moment ... 0.00 Bohr magnetons per cell

No. 4
Material: Sm2Tm3Zn3
Method: DFT, PBE-GGA
State: relaxed

Cell lengths 11.204, 11.204, 11.204 Å; angles 161.46, 153.73, 32.35 degrees
Fractional coordinates of all 8 atoms:
1 Sm 0.227 0.227 0.000
2 Sm 0.773 0.773 0.000
3 Tm 0.000 0.000 0.000
4 Tm 0.385 0.885 0.500
5 Tm 0.615 0.115 0.500
6 Zn 0.111 0.611 0.500
7 Zn 0.500 0.500 0.000
8 Zn 0.889 0.389 0.500

Computed properties:
Formation energy ... -0.235 eV per atom
VASP energy ... -0.1312 Ha/atom
Total moment ... 0.00 Bohr magnetons per cell

No. 5
Material: Zn4ReRu
Method: DFT, PBE-GGA
State: relaxed

Cell lengths 4.876, 4.876, 4.876 Å; angles 60.00, 60.00, 60.00 degrees
Fractional coordinates of all 6 atoms:
1 Zn 0.125 0.125 0.125
2 Zn 0.125 0.125 0.626
3 Zn 0.125 0.626 0.125
4 Zn 0.626 0.125 0.125
5 Re 0.750 0.750 0.750
6 Ru 0.500 0.500 0.500

Computed properties:
Formation energy ... 0.233 eV per atom
VASP energy ... -0.1557 Ha/atom
Total moment ... 0.00 Bohr magnetons per cell

No. 6
Material: Cr2Rh2Au
Method: DFT, PBE-GGA
State: relaxed

Cell lengths 7.312, 7.312, 2.679 Å; angles 90.00, 90.00, 90.00 degrees
Fractional coordinates of all 10 atoms:
1 Cr 0.165 0.335 0.000
2 Cr 0.335 0.835 0.000
3 Cr 0.665 0.165 0.000
4 Cr 0.835 0.665 0.000
5 Rh 0.129 0.629 0.500
6 Rh 0.371 0.129 0.500
7 Rh 0.629 0.871 0.500
8 Rh 0.871 0.371 0.500
9 Au 0.000 0.000 0.500
10 Au 0.500 0.500 0.500

Computed properties:
Formation energy ... 0.111 eV per atom
VASP energy ... -0.2695 Ha/atom
Total moment ... 0.00 Bohr magnetons per cell

No. 7
Material: PAuN2O
Method: DFT, PBE-GGA
State: relaxed

Cell lengths 4.028, 4.028, 4.124 Å; angles 90.00, 90.00, 90.00 degrees
Fractional coordinates of all 5 atoms:
1 P 0.000 0.000 0.000
2 Au 0.500 0.500 0.500
3 N 0.000 0.500 0.500
4 N 0.500 0.000 0.500
5 O 0.500 0.500 0.000

Computed properties:
VASP energy ... -0.1471 Ha/atom
Formation energy (no corrections) ... 10.278 eV/f.u.
Total moment ... 1.12 Bohr magnetons per cell

No. 8
Material: SmTm3O
Method: DFT, PBE-GGA
State: relaxed

Cell lengths 4.895, 4.895, 4.895 Å; angles 90.00, 90.00, 90.00 degrees
Fractional coordinates of all 5 atoms:
1 Sm 0.000 0.000 0.000
2 Tm 0.000 0.500 0.500
3 Tm 0.500 0.000 0.500
4 Tm 0.500 0.500 0.000
5 O 0.500 0.500 0.500

Computed properties:
VASP energy ... -0.2091 Ha/atom
Formation energy (no corrections) ... -5.357 eV/f.u.
Total moment ... 0.00 Bohr magnetons per cell

No. 9
Material: RbYGe2O
Method: DFT, PBE-GGA
State: relaxed

Cell lengths 5.763, 5.763, 4.095 Å; angles 90.00, 90.00, 90.00 degrees
Fractional coordinates of all 5 atoms:
1 Rb 0.000 0.000 0.000
2 Y 0.500 0.500 0.500
3 Ge 0.000 0.500 0.000
4 Ge 0.500 0.000 0.000
5 O 0.000 0.000 0.500

Computed properties:
VASP energy ... -0.1291 Ha/atom
Formation energy (no corrections) ... 4.064 eV/f.u.
Total moment ... 0.00 Bohr magnetons per cell

No. 10
Material: NaPm3Bi4
Method: DFT, PBE-GGA
State: relaxed

Cell lengths 6.487, 6.487, 6.487 Å; angles 90.00, 90.00, 90.00 degrees
Fractional coordinates of all 8 atoms:
1 Na 0.000 0.000 0.000
2 Pm 0.000 0.500 0.500
3 Pm 0.500 0.000 0.500
4 Pm 0.500 0.500 0.000
5 Bi 0.000 0.000 0.500
6 Bi 0.000 0.500 0.000
7 Bi 0.500 0.000 0.000
8 Bi 0.500 0.500 0.500

Computed properties:
Formation energy ... -0.641 eV per atom
VASP energy ... -0.1664 Ha/atom
Total moment ... 0.00 Bohr magnetons per cell

No. 11
Material: LiBeZn2
Method: DFT, PBE-GGA
State: relaxed

Cell lengths 4.147, 4.147, 2.845 Å; angles 90.00, 90.00, 90.00 degrees
Fractional coordinates of all 4 atoms:
1 Li 0.000 0.000 0.000
2 Be 0.500 0.500 0.000
3 Zn 0.000 0.500 0.500
4 Zn 0.500 0.000 0.500

Computed properties:
Formation energy ... 0.011 eV per atom
VASP energy ... -0.0748 Ha/atom
Total moment ... 0.00 Bohr magnetons per cell

No. 12
Material: Pm7TlI12
Method: DFT, PBE-GGA
State: relaxed

Cell lengths 10.014, 10.014, 10.014 Å; angles 108.24, 108.24, 108.24 degrees
Fractional coordinates of all 20 atoms:
1 Pm 0.000 0.000 0.000
2 Pm 0.164 0.454 0.383
3 Pm 0.383 0.164 0.454
4 Pm 0.454 0.383 0.164
5 Pm 0.546 0.617 0.836
6 Pm 0.617 0.836 0.546
7 Pm 0.836 0.546 0.617
8 Tl 0.500 0.500 0.500
9 I 0.024 0.104 0.344
10 I 0.104 0.344 0.024
11 I 0.193 0.578 0.730
12 I 0.270 0.807 0.422
13 I 0.344 0.024 0.104
14 I 0.422 0.270 0.807
15 I 0.578 0.730 0.193
16 I 0.656 0.976 0.896
17 I 0.730 0.193 0.578
18 I 0.807 0.422 0.270
19 I 0.896 0.656 0.976
20 I 0.976 0.896 0.656

Computed properties:
VASP energy ... -0.1436 Ha/atom
Formation energy (no corrections) ... -23.939 eV/f.u.
Total moment ... 0.00 Bohr magnetons per cell

No. 13
Material: Zr3IrC
Method: DFT, PBE-GGA
State: relaxed

Cell lengths 6.087, 6.087, 8.930 Å; angles 90.00, 90.00, 147.84 degrees
Fractional coordinates of all 10 atoms:
1 Zr 0.060 0.940 0.750
2 Zr 0.369 0.631 0.557
3 Zr 0.369 0.631 0.943
4 Zr 0.631 0.369 0.057
5 Zr 0.631 0.369 0.443
6 Zr 0.940 0.060 0.250
7 Ir 0.252 0.748 0.250
8 Ir 0.748 0.252 0.750
9 C 0.000 0.000 0.000
10 C 0.000 0.000 0.500

Computed properties:
Formation energy ... -0.715 eV per atom
VASP energy ... -0.3477 Ha/atom
Total moment ... 0.00 Bohr magnetons per cell

No. 14
Material: NbV2Ru
Method: DFT, PBE-GGA
State: relaxed

Cell lengths 5.654, 5.654, 5.654 Å; angles 151.69, 131.31, 57.28 degrees
Fractional coordinates of all 4 atoms:
1 Nb 0.000 0.000 0.000
2 V 0.269 0.269 0.000
3 V 0.731 0.731 0.000
4 Ru 0.500 0.500 0.000

Computed properties:
Formation energy ... 0.424 eV per atom
VASP energy ... -0.3297 Ha/atom
Total moment ... 0.00 Bohr magnetons per cell

No. 15
Material: NpCuPbS4
Method: DFT, PBE-GGA
State: relaxed

Cell lengths 6.748, 5.521, 8.392 Å; angles 90.00, 107.49, 90.00 degrees
Fractional coordinates of all 14 atoms:
1 Np 0.241 0.250 0.443
2 Np 0.759 0.750 0.557
3 Cu 0.258 0.750 0.680
4 Cu 0.742 0.250 0.320
5 Pb 0.216 0.250 0.945
6 Pb 0.784 0.750 0.055
7 S 0.063 0.750 0.862
8 S 0.071 0.750 0.406
9 S 0.477 0.515 0.279
10 S 0.477 0.985 0.279
11 S 0.523 0.015 0.721
12 S 0.523 0.485 0.721
13 S 0.929 0.250 0.594
14 S 0.937 0.250 0.138

Computed properties:
VASP energy ... -0.2221 Ha/atom
Formation energy (no corrections) ... -5.045 eV/f.u.
Total moment ... 6.40 Bohr magnetons per cell

No. 16
Material: ThScPb2
Method: DFT, PBE-GGA
State: relaxed

Cell lengths 3.524, 3.524, 8.829 Å; angles 90.00, 90.00, 90.00 degrees
Fractional coordinates of all 4 atoms:
1 Th 0.000 0.000 0.000
2 Sc 0.000 0.000 0.500
3 Pb 0.500 0.500 0.270
4 Pb 0.500 0.500 0.730

Computed properties:
Formation energy ... -0.288 eV per atom
VASP energy ... -0.2051 Ha/atom
Total moment ... 0.47 Bohr magnetons per cell

No. 17
Material: Tb3Zn2Rh5
Method: DFT, PBE-GGA
State: relaxed

Cell lengths 9.863, 9.863, 3.700 Å; angles 90.00, 90.00, 90.00 degrees
Fractional coordinates of all 20 atoms:
1 Tb 0.000 0.000 0.000
2 Tb 0.173 0.327 0.000
3 Tb 0.327 0.827 0.000
4 Tb 0.500 0.500 0.000
5 Tb 0.673 0.173 0.000
6 Tb 0.827 0.673 0.000
7 Zn 0.122 0.622 0.000
8 Zn 0.378 0.122 0.000
9 Zn 0.622 0.878 0.000
10 Zn 0.878 0.378 0.000
11 Rh 0.000 0.500 0.500
12 Rh 0.072 0.790 0.500
13 Rh 0.210 0.072 0.500
14 Rh 0.290 0.572 0.500
15 Rh 0.428 0.290 0.500
16 Rh 0.500 0.000 0.500
17 Rh 0.572 0.710 0.500
18 Rh 0.710 0.428 0.500
19 Rh 0.790 0.928 0.500
20 Rh 0.928 0.210 0.500

Computed properties:
Formation energy ... -0.674 eV per atom
VASP energy ... -0.2203 Ha/atom
Total moment ... 0.00 Bohr magnetons per cell

No. 18
Material: CsV3Au
Method: DFT, PBE-GGA
State: relaxed

Cell lengths 4.983, 4.983, 4.983 Å; angles 90.00, 90.00, 90.00 degrees
Fractional coordinates of all 5 atoms:
1 Cs 0.000 0.000 0.000
2 V 0.000 0.500 0.500
3 V 0.500 0.000 0.500
4 V 0.500 0.500 0.000
5 Au 0.500 0.500 0.500

Computed properties:
Formation energy ... 1.452 eV per atom
VASP energy ... -0.1781 Ha/atom
Total moment ... 8.99 Bohr magnetons per cell

No. 19
Material: LaIn4Rh4
Method: DFT, PBE-GGA
State: relaxed

Cell lengths 6.607, 6.607, 8.672 Å; angles 90.00, 90.00, 90.00 degrees
Fractional coordinates of all 18 atoms:
1 La 0.250 0.750 0.250
2 La 0.750 0.250 0.750
3 In 0.021 0.250 0.152
4 In 0.250 0.021 0.652
5 In 0.250 0.479 0.652
6 In 0.479 0.250 0.152
7 In 0.521 0.750 0.848
8 In 0.750 0.521 0.348
9 In 0.750 0.979 0.348
10 In 0.979 0.750 0.848
11 Rh 0.008 0.250 0.474
12 Rh 0.250 0.008 0.974
13 Rh 0.250 0.492 0.974
14 Rh 0.492 0.250 0.474
15 Rh 0.508 0.750 0.526
16 Rh 0.750 0.508 0.026
17 Rh 0.750 0.992 0.026
18 Rh 0.992 0.750 0.526

Computed properties:
Formation energy ... -0.343 eV per atom
VASP energy ... -0.1975 Ha/atom
Total moment ... 0.00 Bohr magnetons per cell

No. 20
Material: Be2ZnCrSb
Method: DFT, PBE-GGA
State: relaxed

Cell lengths 4.278, 4.278, 4.640 Å; angles 90.00, 90.00, 90.00 degrees
Fractional coordinates of all 5 atoms:
1 Be 0.000 0.500 0.000
2 Be 0.500 0.000 0.000
3 Zn 0.000 0.000 0.500
4 Cr 0.000 0.000 0.000
5 Sb 0.500 0.500 0.500

Computed properties:
VASP energy ... -0.1256 Ha/atom
Formation energy (no corrections) ... 5.388 eV/f.u.
Total moment ... 0.00 Bohr magnetons per cell

No. 21
Material: GeAs2Pb2
Method: DFT, PBE-GGA
State: relaxed

Cell lengths 8.372, 8.372, 3.854 Å; angles 90.00, 90.00, 90.00 degrees
Fractional coordinates of all 10 atoms:
1 Ge 0.000 0.000 0.000
2 Ge 0.500 0.500 0.000
3 As 0.105 0.395 0.500
4 As 0.395 0.895 0.500
5 As 0.605 0.105 0.500
6 As 0.895 0.605 0.500
7 Pb 0.184 0.684 0.000
8 Pb 0.316 0.184 0.000
9 Pb 0.684 0.816 0.000
10 Pb 0.816 0.316 0.000

Computed properties:
Formation energy ... 0.346 eV per atom
VASP energy ... -0.1441 Ha/atom
Total moment ... 0.00 Bohr magnetons per cell

No. 22
Material: Rb2Tl3AgBr6
Method: DFT, PBE-GGA
State: relaxed

Cell lengths 8.126, 8.126, 8.269 Å; angles 99.84, 99.84, 119.33 degrees
Fractional coordinates of all 12 atoms:
1 Rb 0.164 0.836 0.000
2 Rb 0.836 0.164 0.000
3 Tl 0.000 0.000 0.500
4 Tl 0.332 0.668 0.500
5 Tl 0.668 0.332 0.500
6 Ag 0.500 0.500 0.000
7 Br 0.139 0.428 0.774
8 Br 0.272 0.272 0.264
9 Br 0.428 0.139 0.774
10 Br 0.572 0.861 0.226
11 Br 0.728 0.728 0.736
12 Br 0.861 0.572 0.226

Computed properties:
VASP energy ... -0.1055 Ha/atom
Formation energy (no corrections) ... -12.530 eV/f.u.
Total moment ... 0.00 Bohr magnetons per cell

No. 23
Material: NpSbAu
Method: DFT, PBE-GGA
State: relaxed

Cell lengths 12.520, 12.520, 12.520 Å; angles 16.35, 16.35, 16.35 degrees
Fractional coordinates of all 6 atoms:
1 Np 0.184 0.184 0.184
2 Np 0.816 0.816 0.816
3 Sb 0.080 0.080 0.080
4 Sb 0.920 0.920 0.920
5 Au 0.359 0.359 0.359
6 Au 0.641 0.641 0.641

Computed properties:
VASP energy ... -0.2465 Ha/atom
Formation energy (no corrections) ... 0.216 eV/f.u.
Total moment ... 0.00 Bohr magnetons per cell

No. 24
Material: NbAlW3
Method: DFT, PBE-GGA
State: relaxed

Cell lengths 4.759, 4.759, 4.759 Å; angles 90.00, 90.00, 90.00 degrees
Fractional coordinates of all 5 atoms:
1 Nb 0.000 0.000 0.000
2 Al 0.500 0.500 0.500
3 W 0.000 0.000 0.500
4 W 0.000 0.500 0.000
5 W 0.500 0.000 0.000

Computed properties:
Formation energy ... 2.235 eV per atom
VASP energy ... -0.3050 Ha/atom
Total moment ... 0.00 Bohr magnetons per cell